This record from Alexandria via LeMat-Bulk describes a relaxed structure of Th4H. The functional is GGA-PBE.

Cell: 5.0830 5.0830 5.0830 Å, 90.00 90.00 90.00°
Fractional positions:
Th  0.0000  0.0000  0.0000
Th  0.5000  0.0000  0.5000
Th  0.0000  0.5000  0.5000
Th  0.5000  0.5000  0.0000
H  0.5000  0.5000  0.5000

Calculated values
- space-group type = No. 221
- uncorrected energy (eV per atom) = -6.703